[1]
Sr3UCu2S6, relaxed, DFT PBE; spin magnetization = 1.918 μB/f.u.; density of states at the Fermi level = 4.7 states/eV per cell; SG = No. 164; E_form (uncorrected) = -117.2 kJ per mole of atoms
1.0
7.216 0.000 0.000
-3.608 6.249 0.000
0.000 0.000 7.498
Sr U Cu S
3 1 2 6
Direct
0.000 0.000 0.000
0.333 0.667 0.602
0.667 0.333 0.398
0.000 0.000 0.500
0.333 0.667 0.186
0.667 0.333 0.814
0.167 0.334 0.287
0.167 0.833 0.287
0.334 0.167 0.713
0.666 0.833 0.287
0.833 0.167 0.713
0.833 0.666 0.713



[2]
K4PRh, relaxed, DFT PBE; spin magnetization = 0.442 μB/f.u.; density of states at the Fermi level = 7.5 states/eV per cell; SG = No. 216; energy of formation = 829 meV/atom
1.0
0.000 4.450 4.450
4.450 0.000 4.450
4.450 4.450 0.000
K P Rh
4 1 1
Direct
0.124 0.124 0.124
0.124 0.124 0.628
0.124 0.628 0.124
0.628 0.124 0.124
0.750 0.750 0.750
0.500 0.500 0.500



[3]
CeAl3H12, relaxed, DFT PBE; spin magnetization = 1.000 μB/f.u.; density of states at the Fermi level = 16.1 states/eV per cell; SG = No. 176; uncorrected energy = -3.665 eV per atom
1.0
8.694 0.000 0.000
-4.347 7.529 0.000
0.000 0.000 6.021
Ce Al H
2 6 24
Direct
0.333 0.667 0.250
0.667 0.333 0.750
0.092 0.714 0.750
0.286 0.379 0.750
0.379 0.092 0.250
0.621 0.908 0.750
0.714 0.621 0.250
0.908 0.286 0.250
0.022 0.190 0.250
0.033 0.506 0.250
0.168 0.978 0.250
0.190 0.168 0.750
0.227 0.762 0.537
0.227 0.762 0.963
0.238 0.465 0.537
0.238 0.465 0.963
0.465 0.227 0.037
0.465 0.227 0.463
0.473 0.967 0.250
0.494 0.527 0.250
0.506 0.473 0.750
0.527 0.033 0.750
0.535 0.773 0.537
0.535 0.773 0.963
0.762 0.535 0.037
0.762 0.535 0.463
0.773 0.238 0.037
0.773 0.238 0.463
0.810 0.832 0.250
0.832 0.022 0.750
0.967 0.494 0.750
0.978 0.810 0.750



[4]
AsHIrOsAu, relaxed, DFT PBE; spin magnetization = 0.000 μB/f.u.; density of states at the Fermi level = 3.5 states/eV per cell; SG = No. 1; offset from the most stable computed form = 9 meV per atom
1.0
2.850 0.000 0.000
0.001 4.756 0.000
0.010 0.881 5.453
As H Ir Os Au
1 1 1 1 1
Direct
0.000 0.000 0.000
0.502 0.858 0.520
0.001 0.642 0.691
0.502 0.187 0.652
0.002 0.463 0.226



[5]
Pa2SnAu, relaxed, DFT PBE; spin magnetization = 3.853 μB/f.u.; density of states at the Fermi level = 11.7 states/eV per cell; SG = No. 225; energy of formation = -37 meV/atom; offset from the most stable computed form = 195 meV per atom
1.0
0.000 3.707 3.707
3.707 0.000 3.707
3.707 3.707 0.000
Pa Sn Au
2 1 1
Direct
0.250 0.250 0.250
0.750 0.750 0.750
0.000 0.000 0.000
0.500 0.500 0.500



[6]
Pr4Sn2TeSe, relaxed, DFT PBE; spin magnetization = 0.000 μB/f.u.; density of states at the Fermi level = 2.8 states/eV per cell; SG = No. 10; E_form (uncorrected) = -115.2 kJ per mole of atoms
1.0
7.782 0.000 0.000
0.000 4.479 0.000
-2.577 0.000 7.388
Pr Sn Te Se
4 2 1 1
Direct
0.242 0.000 0.248
0.243 0.500 0.748
0.757 0.500 0.252
0.758 0.000 0.752
0.000 0.500 0.000
0.500 0.000 0.000
0.500 0.500 0.500
0.000 0.000 0.500



- Which of these has the highest density of states at the Fermi level?
  CeAl3H12